Entry 1:
Entry from Alexandria: CdTcNi6 after structural relaxation (PBE-GGA).

Results
Its space group is No. 65. The value obtained for the calculated total energy is -5.673 eV/atom. The density of states at the Fermi level is 1.060 states/eV per atom. As for the formation energy: 0.58 eV per formula unit.

Cell lengths 6.353, 6.353, 10.385 Å; angles 90.00, 90.00, 109.41 degrees
Sites, in units of the cell vectors:
Cd: 0.255 0.745 0.750
Cd: 0.745 0.255 0.750
Cd: 0.500 0.500 0.498
Cd: 0.500 0.500 0.002
Ni: 0.244 0.756 0.489
Ni: 0.882 0.638 0.619
Ni: 0.118 0.362 0.619
Ni: 0.756 0.244 0.489
Ni: 0.362 0.118 0.619
Ni: 0.638 0.882 0.619
Ni: 0.500 0.500 0.250
Ni: 0.113 0.370 0.370
Ni: 0.370 0.113 0.370
Ni: 0.244 0.756 0.011
Ni: 0.887 0.630 0.130
Ni: 0.113 0.370 0.130
Ni: 0.756 0.244 0.011
Ni: 0.370 0.113 0.130
Ni: 0.630 0.887 0.130
Ni: 0.500 0.500 0.750
Ni: 0.118 0.362 0.881
Ni: 0.362 0.118 0.881
Ni: 0.000 0.000 0.250
Ni: 0.630 0.887 0.370
Ni: 0.887 0.630 0.370
Ni: 0.000 0.000 0.750
Ni: 0.638 0.882 0.881
Ni: 0.882 0.638 0.881
Tc: 0.253 0.747 0.250
Tc: 0.747 0.253 0.250
Tc: 0.000 0.000 0.504
Tc: 0.000 0.000 0.996

Entry 2:
Entry from Alexandria: Co5Tc4B2 after structural relaxation (PBE-GGA).

Results
Its space group is No. 10. The value obtained for the calculated total energy is -8.169 eV/atom. The density of states at the Fermi level is 1.010 states/eV per atom. As for the formation energy: 0.48 eV per formula unit.

Cell lengths 2.754, 6.327, 7.225 Å; angles 94.00, 90.00, 90.00 degrees
Sites, in units of the cell vectors:
Co: 0.000 0.519 0.325
Co: 0.000 0.156 0.140
Co: 0.000 0.500 0.000
Co: 0.000 0.844 0.860
Co: 0.000 0.481 0.675
Tc: 0.500 0.774 0.537
Tc: 0.500 0.193 0.840
Tc: 0.500 0.226 0.463
Tc: 0.500 0.807 0.160
B: 0.000 0.040 0.631
B: 0.000 0.960 0.369

Entry 3:
Entry from Alexandria: Pm2YHo3Sb6 after structural relaxation (PBE-GGA).

Results
Its space group is No. 12. The value obtained for the calculated total energy is -5.680 eV/atom. The density of states at the Fermi level is 0.160 states/eV per atom.

Cell lengths 4.416, 8.827, 9.869 Å; angles 102.86, 102.93, 90.00 degrees
Sites, in units of the cell vectors:
Pm: 0.834 0.667 0.668
Pm: 0.166 0.333 0.332
Y: 0.500 0.000 0.000
Ho: 0.500 0.500 0.000
Ho: 0.833 0.166 0.665
Ho: 0.167 0.834 0.335
Sb: 0.333 0.923 0.667
Sb: 0.665 0.588 0.330
Sb: 0.667 0.077 0.333
Sb: 0.998 0.250 0.995
Sb: 0.002 0.750 0.005
Sb: 0.335 0.412 0.670

Entry 4:
Entry from Alexandria: KBe2Ir after structural relaxation (PBE-GGA).

Results
Its space group is No. 44. The value obtained for the calculated total energy is -3.698 eV/atom. The energy above the most stable polymorph in this dataset comes out at 69.93 kJ per mole of atoms. The density of states at the Fermi level is 0.459 states/eV per atom. As for the formation energy: 2.62 eV per formula unit.

Cell lengths 5.591, 5.591, 5.591 Å; angles 152.18, 127.93, 60.06 degrees
Sites, in units of the cell vectors:
Be: 0.044 0.044 0.000
Be: 0.266 0.766 0.500
K: 0.742 0.242 0.500
Ir: 0.448 0.448 0.000

Please write out number 1 again, unchanged.
Entry from Alexandria: CdTcNi6 after structural relaxation (PBE-GGA).

Results
Its space group is No. 65. The value obtained for the calculated total energy is -5.673 eV/atom. The density of states at the Fermi level is 1.060 states/eV per atom. As for the formation energy: 0.58 eV per formula unit.

Cell lengths 6.353, 6.353, 10.385 Å; angles 90.00, 90.00, 109.41 degrees
Sites, in units of the cell vectors:
Cd: 0.255 0.745 0.750
Cd: 0.745 0.255 0.750
Cd: 0.500 0.500 0.498
Cd: 0.500 0.500 0.002
Ni: 0.244 0.756 0.489
Ni: 0.882 0.638 0.619
Ni: 0.118 0.362 0.619
Ni: 0.756 0.244 0.489
Ni: 0.362 0.118 0.619
Ni: 0.638 0.882 0.619
Ni: 0.500 0.500 0.250
Ni: 0.113 0.370 0.370
Ni: 0.370 0.113 0.370
Ni: 0.244 0.756 0.011
Ni: 0.887 0.630 0.130
Ni: 0.113 0.370 0.130
Ni: 0.756 0.244 0.011
Ni: 0.370 0.113 0.130
Ni: 0.630 0.887 0.130
Ni: 0.500 0.500 0.750
Ni: 0.118 0.362 0.881
Ni: 0.362 0.118 0.881
Ni: 0.000 0.000 0.250
Ni: 0.630 0.887 0.370
Ni: 0.887 0.630 0.370
Ni: 0.000 0.000 0.750
Ni: 0.638 0.882 0.881
Ni: 0.882 0.638 0.881
Tc: 0.253 0.747 0.250
Tc: 0.747 0.253 0.250
Tc: 0.000 0.000 0.504
Tc: 0.000 0.000 0.996

> Which of these has the highest calculated total energy?

KBe2Ir

> The highest calculated total energy belongs to which entry?

KBe2Ir